# 1
A relaxed BeTl2In crystal. Source: Alexandria, functional PBE.

Cell: 6.1349 6.1349 3.5979 Å, 104.96 104.96 119.07°
Closest atoms and distances in Å follow each position.
Atoms (fractional coordinates):
Be1 0.0000 0.0000 0.0000  4 In 3.11-3.35, 4 Tl 3.13
Tl1 0.0000 0.5000 0.5000  4 Tl 3.11-3.35, 2 Be 3.13, 2 In 3.13
Tl2 0.5000 0.0000 0.5000  4 Tl 3.11-3.35, 2 Be 3.13, 2 In 3.13
In1 0.5000 0.5000 0.0000  4 Be 3.11-3.35, 4 Tl 3.13

Relative energy among the computed polymorphs ... 254 meV per atom
Space-group type ... C2/m (12)
Total magnetic moment ... 0.000 μB/atom
Uncorrected energy ... -2.24 eV per atom

---

# 2
A relaxed BeTlIn crystal. Source: Alexandria, functional PBE.

Cell: 4.9018 4.2309 13.7696 Å, 90.00 90.00 90.00°
Closest atoms and distances in Å follow each position.
Atoms (fractional coordinates):
Be1 0.0005 0.2500 0.2500  2 Be 2.45, 4 In 2.60
Be2 0.4995 0.7500 0.7500  2 Be 2.45, 4 In 2.60
Be3 0.5005 0.2500 0.2500  2 Be 2.45, 4 In 2.60
Be4 0.9995 0.7500 0.7500  2 Be 2.45, 4 In 2.60
Tl1 0.2499 0.2500 0.5343  2 In 3.22, 4 Tl 3.37
Tl2 0.2501 0.7500 0.0343  2 In 3.22, 4 Tl 3.37
Tl3 0.7499 0.2500 0.9657  2 In 3.22, 4 Tl 3.37
Tl4 0.7501 0.7500 0.4657  2 In 3.22, 4 Tl 3.37
In1 0.2497 0.2500 0.8141  4 Be 2.60
In2 0.2503 0.7500 0.3141  4 Be 2.60
In3 0.7497 0.2500 0.6859  4 Be 2.60
In4 0.7503 0.7500 0.1859  4 Be 2.60

Space-group type ... Pnma (62)
Total magnetic moment ... 0.000 μB/atom
Uncorrected energy ... -2.59 eV per atom

---

# 3
A relaxed BeTl2In crystal. Source: Alexandria, functional PBE.

Cell: 3.2615 3.2615 9.1700 Å, 90.00 90.00 90.00°
Closest atoms and distances in Å follow each position.
Atoms (fractional coordinates):
Be1 0.0000 0.0000 0.0000  8 Tl 2.94, 4 Be 3.26
Tl1 0.5000 0.5000 0.1990  4 Be 2.94, 4 Tl 3.26
Tl2 0.5000 0.5000 0.8010  4 Be 2.94, 4 Tl 3.26
In1 0.0000 0.0000 0.5000  4 In 3.26, 8 Tl 3.60

Relative energy among the computed polymorphs ... 129 meV per atom
Space-group type ... P4/mmm (123)
Total magnetic moment ... 0.000 μB/atom
Uncorrected energy ... -2.37 eV per atom

---

# 4
A relaxed Be2TlIn crystal. Source: Alexandria, functional PBE.

Cell: 8.2690 8.2690 8.2690 Å, 22.38 22.38 22.38°
Closest atoms and distances in Å follow each position.
Atoms (fractional coordinates):
Be1 0.2494 0.2494 0.2494  3 In 2.73, 3 Tl 2.75
Be2 0.7506 0.7506 0.7506  3 In 2.73, 3 Tl 2.75
Tl1 0.0000 0.0000 0.0000  6 Be 2.75
In1 0.5000 0.5000 0.5000  6 Be 2.73

Relative energy among the computed polymorphs ... 221 meV per atom
Space-group type ... R-3m (166)
Total magnetic moment ... 0.000 μB/atom
Uncorrected energy ... -2.49 eV per atom

---

# 5
A relaxed Be2TlIn crystal. Source: Alexandria, functional PBE.

Cell: 5.1894 5.1894 3.4402 Å, 107.93 107.93 105.11°
Closest atoms and distances in Å follow each position.
Atoms (fractional coordinates):
Be1 0.0000 0.5000 0.0000  2 Tl 2.64, 2 In 2.64
Be2 0.5000 0.0000 0.0000  2 Tl 2.64, 2 In 2.64
Tl1 0.0000 0.0000 0.5000  4 Be 2.64
In1 0.5000 0.5000 0.5000  4 Be 2.64

Relative energy among the computed polymorphs ... 340 meV per atom
Space-group type ... C2/m (12)
Total magnetic moment ... 0.000 μB/atom
Uncorrected energy ... -2.37 eV per atom

---

# 6
A relaxed BeTl2In crystal. Source: Alexandria, functional PBE.

Cell: 3.5012 6.2590 6.2590 Å, 47.85 90.00 90.00°
Closest atoms and distances in Å follow each position.
Atoms (fractional coordinates):
Be1 0.0000 0.0000 0.0000  4 Tl 2.54-2.68, 2 In 2.62
Tl1 0.0000 0.5003 0.5003  2 Be 2.54
Tl2 0.5000 0.8231 0.8231  2 Be 2.68
In1 0.5000 0.1701 0.1701  2 Be 2.62

Relative energy among the computed polymorphs ... 40 meV per atom
Space-group type ... Amm2 (38)
Total magnetic moment ... 0.000 μB/atom
Uncorrected energy ... -2.46 eV per atom

---

# 7
A relaxed Be2TlIn crystal. Source: Alexandria, functional PBE.

Cell: 6.5686 6.5686 6.5686 Å, 152.90 143.70 45.88°
Closest atoms and distances in Å follow each position.
Atoms (fractional coordinates):
Be1 0.0000 0.0000 0.0000  2 Be 2.21
Be2 0.8687 0.3687 0.5000  2 Be 2.21
Tl1 0.6095 0.6095 0.0000  4 Be 2.88, 2 Tl 3.08
In1 0.3325 0.8325 0.5000  6 Be 2.60-2.88

Relative energy among the computed polymorphs ... 144 meV per atom
Space-group type ... Imm2 (44)
Total magnetic moment ... 0.000 μB/atom
Uncorrected energy ... -2.57 eV per atom

---

# 8
A relaxed BeTl2In crystal. Source: Alexandria, functional PBE.

Cell: 5.5412 5.5412 5.5412 Å, 129.00 129.00 75.01°
Closest atoms and distances in Å follow each position.
Atoms (fractional coordinates):
Be1 0.0000 0.0000 0.0000  8 Tl 3.24-3.37, 4 In 3.24
Tl1 0.5000 0.5000 0.0000  4 Tl 3.24, 4 In 3.24, 4 Be 3.37
Tl2 0.7500 0.2500 0.5000  4 Tl 3.24, 4 Be 3.24, 4 In 3.37
In1 0.2500 0.7500 0.5000  8 Tl 3.24-3.37, 4 Be 3.24

Relative energy among the computed polymorphs ... 232 meV per atom
Space-group type ... I-4m2 (119)
Total magnetic moment ... 0.000 μB/atom
Uncorrected energy ... -2.26 eV per atom

---

# 9
A relaxed BeTlVIn2 crystal. Source: Alexandria, functional PBE.

Cell: 5.6076 5.6076 4.3590 Å, 90.00 90.00 90.00°
Closest atoms and distances in Å follow each position.
Atoms (fractional coordinates):
Be1 0.0000 0.0000 0.0000  2 Tl 2.18
Tl1 0.0000 0.0000 0.5000  2 Be 2.18
V1 0.5000 0.5000 0.0000  8 In 3.55, 4 Be 3.97
In1 0.0000 0.5000 0.5000  2 Tl 2.80
In2 0.5000 0.0000 0.5000  2 Tl 2.80

Space-group type ... P4/mmm (123)
Total magnetic moment ... 0.000 μB/atom
Uncorrected energy ... -2.64 eV per atom

---

# 10
A relaxed Tm2BeIn crystal. Source: Alexandria, functional PBE.

Cell: 10.5244 10.5244 10.5244 Å, 18.64 18.64 18.64°
Closest atoms and distances in Å follow each position.
Atoms (fractional coordinates):
Tm1 0.1034 0.1034 0.1034  3 Be 2.78
Tm2 0.8966 0.8966 0.8966  3 Be 2.78
Be1 0.5000 0.5000 0.5000  6 Tm 2.78
In1 0.0000 0.0000 0.0000  2 Tm 3.21, 6 In 3.41

Relative energy among the computed polymorphs ... 460 meV per atom
Space-group type ... R-3m (166)
Total magnetic moment ... 0.000 μB/atom
Uncorrected energy ... -3.58 eV per atom

---

# 11
A relaxed Tm2BeIn crystal. Source: Alexandria, functional PBE.

Cell: 3.4697 3.4697 7.3425 Å, 90.00 90.00 90.00°
Closest atoms and distances in Å follow each position.
Atoms (fractional coordinates):
Tm1 0.0000 0.0000 0.2179  4 Be 2.93, 1 Tm 3.20, 4 In 3.21
Tm2 0.0000 0.0000 0.7821  4 Be 2.93, 1 Tm 3.20, 4 In 3.21
Be1 0.5000 0.5000 0.0000  8 Tm 2.93
In1 0.5000 0.5000 0.5000  8 Tm 3.21, 4 In 3.47

Relative energy among the computed polymorphs ... 0 meV per atom
Space-group type ... P4/mmm (123)
Total magnetic moment ... 0.000 μB/atom
Uncorrected energy ... -4.04 eV per atom

---

# 12
A relaxed Tm2BeIn crystal. Source: Alexandria, functional PBE.

Cell: 5.0407 5.0407 5.0407 Å, 60.00 60.00 60.00°
Closest atoms and distances in Å follow each position.
Atoms (fractional coordinates):
Tm1 0.2500 0.2500 0.2500  4 In 3.09, 4 Be 3.09
Tm2 0.7500 0.7500 0.7500  4 Be 3.09, 4 In 3.09
Be1 0.0000 0.0000 0.0000  8 Tm 3.09
In1 0.5000 0.5000 0.5000  8 Tm 3.09

Relative energy among the computed polymorphs ... 78 meV per atom
Space-group type ... Fm-3m (225)
Total magnetic moment ... 0.000 μB/atom
Uncorrected energy ... -3.97 eV per atom

---

# 13
A relaxed YTmBeIn crystal. Source: Alexandria, functional PBE.

Cell: 5.0827 5.0827 5.0827 Å, 60.00 60.00 60.00°
Closest atoms and distances in Å follow each position.
Atoms (fractional coordinates):
Y1 0.0000 0.0000 0.0000  4 In 3.11, 4 Be 3.11
Tm1 0.5000 0.5000 0.5000  4 In 3.11, 4 Be 3.11
Be1 0.2500 0.2500 0.2500  4 Tm 3.11, 4 Y 3.11
In1 0.7500 0.7500 0.7500  4 Tm 3.11, 4 Y 3.11

Space-group type ... F-43m (216)
Total magnetic moment ... 0.000 μB/atom
Uncorrected energy ... -4.48 eV per atom

---

# 14
A relaxed BeVIn2 crystal. Source: Alexandria, functional PBE.

Cell: 5.8372 5.8372 5.8372 Å, 102.62 102.62 124.27°
Closest atoms and distances in Å follow each position.
Atoms (fractional coordinates):
Be1 0.0000 0.0000 0.0000  4 In 2.44, 2 V 2.73
Be2 0.7500 0.2500 0.5000  4 In 2.44, 2 V 2.73
V1 0.2500 0.7500 0.5000  2 Be 2.73, 4 In 2.92
V2 0.5000 0.5000 0.0000  2 Be 2.73, 4 In 2.92
In1 0.0773 0.6250 0.9523  2 Be 2.44
In2 0.3750 0.3273 0.4523  2 Be 2.44
In3 0.6727 0.1250 0.0477  2 Be 2.44
In4 0.8750 0.9227 0.5477  2 Be 2.44

Space-group type ... I-42d (122)
Total magnetic moment ... 0.242 μB/atom
Uncorrected energy ... -3.97 eV per atom